Arrangement w

Material: Nd4NO3
Method: DFT, PBE
State: relaxed

Calculated values
Total magnetization in μB per atom: 0.000

```
Nd4NO3
1.0
5.076 0.000 0.000
0.000 5.076 0.000
0.000 0.000 5.076
Nd N O
4 1 3
direct
0.000 0.000 0.000
0.000 0.500 0.500
0.500 0.000 0.500
0.500 0.500 0.000
0.500 0.500 0.500
0.000 0.000 0.500
0.000 0.500 0.000
0.500 0.000 0.000
```

Arrangement x

Material: Nd4NO3
Method: DFT, PBE
State: relaxed

Calculated values
Total magnetization in μB per atom: 0.000

```
Nd4NO3
1.0
-2.536 2.536 5.086
2.536 -2.536 5.086
2.536 2.536 -5.086
Nd N O
4 1 3
direct
0.000 0.500 0.500
0.245 0.245 0.000
0.500 0.000 0.500
0.755 0.755 0.000
0.000 0.000 0.000
0.250 0.750 0.500
0.500 0.500 0.000
0.750 0.250 0.500
```

Relative to the most stable one, in meV/atom, the structures come out at arrangement w 10; arrangement x 0.

Arrangement w

Material: Nd4N2O
Method: DFT, PBE
State: relaxed

Calculated values
Total magnetization in μB per atom: 0.113

```
Nd4N2O
1.0
1.807 1.043 12.312
-1.807 1.043 12.312
0.000 -2.086 12.312
Nd N O
4 2 1
direct
0.118 0.118 0.118
0.292 0.292 0.292
0.708 0.708 0.708
0.882 0.882 0.882
0.413 0.413 0.413
0.587 0.587 0.587
0.000 0.000 0.000
```

Arrangement x

Material: Nd4N2O
Method: DFT, PBE
State: relaxed

Calculated values
Total magnetization in μB per atom: 0.000

```
Nd4N2O
1.0
6.840 -1.777 0.000
6.840 1.777 0.000
-2.729 0.000 5.629
Nd N O
4 2 1
direct
0.132 0.132 0.294
0.365 0.365 0.185
0.635 0.635 0.815
0.868 0.868 0.706
0.246 0.246 0.737
0.754 0.754 0.263
0.500 0.500 0.000
```

Relative to the most stable one, in meV/atom, the structures come out at arrangement w 0; arrangement x 52.

Arrangement w

Material: NdPaN
Method: DFT, PBE
State: relaxed

Calculated values
Total magnetization in μB per atom: 0.416

```
NdPaN
1.0
0.000 3.079 3.079
3.079 0.000 3.079
3.079 3.079 0.000
Nd Pa N
1 1 1
direct
0.000 0.000 0.000
0.500 0.500 0.500
0.250 0.250 0.250
```

Arrangement x

Material: NdPaN
Method: DFT, PBE
State: relaxed

Calculated values
Total magnetization in μB per atom: 0.000

```
NdPaN
1.0
-1.668 1.668 6.580
1.668 -1.668 6.580
1.668 1.668 -6.580
Nd Pa N
1 1 1
direct
0.000 0.000 0.000
0.296 0.296 0.000
0.804 0.804 0.000
```

Arrangement y

Material: NdPaN
Method: DFT, PBE
State: relaxed

Calculated values
Total magnetization in μB per atom: 0.000

```
NdPaN
1.0
1.713 -6.461 0.000
1.713 6.461 0.000
0.000 0.000 6.277
Nd Pa N
2 2 2
direct
0.233 0.767 0.750
0.767 0.233 0.250
0.500 0.500 0.000
0.500 0.500 0.500
0.038 0.962 0.750
0.962 0.038 0.250
```

Arrangement z

Material: NdPaN
Method: DFT, PBE
State: relaxed

Calculated values
Total magnetization in μB per atom: 0.107

```
NdPaN
1.0
3.554 0.000 0.000
-1.777 3.078 0.000
0.000 0.000 6.077
Nd Pa N
1 1 1
direct
0.000 0.000 0.000
0.667 0.333 0.535
0.333 0.667 0.725
```

Relative to the most stable one, in meV/atom, the structures come out at arrangement w 772; arrangement x 103; arrangement y 46; arrangement z 0.

Arrangement w

Material: NdPa3N6
Method: DFT, PBE
State: relaxed

Calculated values
Total magnetization in μB per atom: 0.000

```
NdPa3N6
1.0
9.291 0.000 0.000
0.000 3.592 0.000
-2.434 0.000 9.069
Nd Pa N
2 6 12
direct
0.071 0.250 0.182
0.929 0.750 0.818
0.170 0.250 0.584
0.316 0.750 0.978
0.469 0.250 0.322
0.531 0.750 0.678
0.684 0.250 0.022
0.830 0.750 0.416
0.073 0.750 0.419
0.124 0.250 0.935
0.271 0.750 0.719
0.302 0.750 0.220
0.404 0.250 0.548
0.449 0.250 0.080
0.551 0.750 0.920
0.596 0.750 0.452
0.698 0.250 0.780
0.729 0.250 0.281
0.876 0.750 0.065
0.927 0.250 0.581
```

Arrangement x

Material: NdPa3N6
Method: DFT, PBE
State: relaxed

Calculated values
Total magnetization in μB per atom: 0.010

```
NdPa3N6
1.0
3.931 -5.668 0.000
3.931 5.668 0.000
0.000 0.000 3.704
Nd Pa N
1 3 6
direct
0.000 0.000 0.000
0.000 0.500 0.500
0.500 0.000 0.500
0.500 0.500 0.000
0.156 0.844 0.500
0.169 0.429 0.000
0.429 0.169 0.000
0.571 0.831 0.000
0.831 0.571 0.000
0.844 0.156 0.500
```

Relative to the most stable one, in meV/atom, the structures come out at arrangement w 0; arrangement x 198.

Arrangement w

Material: Nd2PaN3
Method: DFT, PBE
State: relaxed

Calculated values
Total magnetization in μB per atom: 0.000

```
Nd2PaN3
1.0
3.121 -5.383 0.000
3.121 5.383 0.000
-2.060 0.000 5.851
Nd Pa N
4 2 6
direct
0.083 0.917 0.750
0.248 0.752 0.250
0.752 0.248 0.750
0.917 0.083 0.250
0.415 0.585 0.750
0.585 0.415 0.250
0.000 0.500 0.500
0.214 0.359 0.000
0.359 0.214 0.500
0.500 0.000 0.000
0.641 0.786 0.500
0.786 0.641 0.000
```

Arrangement x

Material: Nd2PaN3
Method: DFT, PBE
State: relaxed

Calculated values
Total magnetization in μB per atom: 0.000

```
Nd2PaN3
1.0
2.573 -5.669 0.000
2.573 5.669 0.000
0.000 0.000 3.633
Nd Pa N
2 1 3
direct
0.153 0.847 0.000
0.847 0.153 0.000
0.500 0.500 0.500
0.000 0.000 0.500
0.373 0.627 0.000
0.627 0.373 0.000
```

Relative to the most stable one, in meV/atom, the structures come out at arrangement w 0; arrangement x 112.

Arrangement w

Material: Nd4Pb2N
Method: DFT, PBE
State: relaxed

Calculated values
Total magnetization in μB per atom: 0.000

```
Nd4Pb2N
1.0
-2.473 2.473 8.342
2.473 -2.473 8.342
2.473 2.473 -8.342
Nd Pb N
4 2 1
direct
0.000 0.500 0.500
0.159 0.159 0.000
0.500 0.000 0.500
0.841 0.841 0.000
0.357 0.357 0.000
0.643 0.643 0.000
0.000 0.000 0.000
```

Arrangement x

Material: Nd4Pb2N
Method: DFT, PBE
State: relaxed

Calculated values
Total magnetization in μB per atom: 0.081

```
Nd4Pb2N
1.0
6.781 0.000 0.000
0.000 6.986 0.000
-3.329 0.000 8.994
Nd Pb N
8 4 2
direct
0.181 0.250 0.048
0.240 0.501 0.719
0.240 0.999 0.719
0.270 0.750 0.342
0.730 0.250 0.658
0.760 0.001 0.281
0.760 0.499 0.281
0.819 0.750 0.952
0.234 0.250 0.410
0.340 0.750 0.032
0.660 0.250 0.968
0.766 0.750 0.590
0.087 0.250 0.792
0.913 0.750 0.208
```

Relative to the most stable one, in meV/atom, the structures come out at arrangement w 0; arrangement x 29.

Arrangement w

Material: PmNd2N2
Method: DFT, PBE
State: relaxed

Calculated values
Total magnetization in μB per atom: 0.000

```
PmNd2N2
1.0
-1.807 2.616 5.532
1.807 -2.616 5.532
1.807 2.616 -5.532
Pm Nd N
1 2 2
direct
0.000 0.000 0.000
0.319 0.319 0.000
0.681 0.681 0.000
0.168 0.668 0.500
0.832 0.332 0.500
```

Arrangement x

Material: PmNd2N2
Method: DFT, PBE
State: relaxed

Calculated values
Total magnetization in μB per atom: 0.000

```
PmNd2N2
1.0
5.807 -2.601 0.000
5.807 2.601 0.000
-2.552 0.000 6.926
Pm Nd N
2 4 4
direct
0.156 0.156 0.096
0.844 0.844 0.904
0.164 0.164 0.574
0.493 0.493 0.266
0.507 0.507 0.734
0.836 0.836 0.426
0.003 0.003 0.248
0.334 0.334 0.415
0.666 0.666 0.585
0.997 0.997 0.752
```

Relative to the most stable one, in meV/atom, the structures come out at arrangement w 6; arrangement x 0.

Arrangement w

Material: PmNd2N
Method: DFT, PBE
State: relaxed

Calculated values
Total magnetization in μB per atom: 0.000

```
PmNd2N
1.0
1.796 1.037 9.826
-1.796 1.037 9.826
0.000 -2.074 9.826
Pm Nd N
1 2 1
direct
0.000 0.000 0.000
0.120 0.120 0.120
0.880 0.880 0.880
0.500 0.500 0.500
```

Arrangement x

Material: PmNd2N
Method: DFT, PBE
State: relaxed

Calculated values
Total magnetization in μB per atom: 0.000

```
PmNd2N
1.0
3.268 0.000 0.000
0.000 3.268 0.000
0.000 0.000 9.227
Pm Nd N
1 2 1
direct
0.000 0.000 0.000
0.500 0.500 0.340
0.500 0.500 0.660
0.000 0.000 0.500
```

Relative to the most stable one, in meV/atom, the structures come out at arrangement w 0; arrangement x 448.